No. 1
SmDyHg: relaxed, GGA-PBE.

Properties
Crystal system   trigonal
ΔH_f (0 K)   -195 meV per atom

Cell: 8.124 8.124 8.124 Å, 37.43 37.43 37.43°
Positions (direct):
Sm (0.000, 0.000, 0.000)
Sm (0.165, 0.165, 0.165)
Dy (0.580, 0.580, 0.580)
Dy (0.744, 0.744, 0.744)
Hg (0.303, 0.303, 0.303)
Hg (0.440, 0.440, 0.440)

No. 2
ScTc2Ni: relaxed, GGA-PBE.

Properties
Crystal system   cubic
ΔH_f (0 K)   248 meV per atom

Cell: 4.376 4.376 4.376 Å, 60.00 60.00 60.00°
Positions (direct):
Sc (0.000, 0.000, 0.000)
Tc (0.250, 0.250, 0.250)
Tc (0.750, 0.750, 0.750)
Ni (0.500, 0.500, 0.500)

No. 3
BaTa2Al: relaxed, GGA-PBE.

Properties
Crystal system   monoclinic
ΔH_f (0 K)   922 meV per atom

Cell: 6.083 6.083 2.936 Å, 101.93 101.93 117.56°
Positions (direct):
Ba (0.000, 0.000, 0.000)
Ta (0.000, 0.500, 0.500)
Ta (0.500, 0.000, 0.500)
Al (0.500, 0.500, 0.000)